No. 1
The following is a DFT calculation (PBE) of a geometry-optimized TiPN3 structure.

Cell: 3.2643 3.2643 4.5171 Å, 90.00 90.00 90.00°
Space group P4mm (No. 99)
One atom of each set of equivalent atoms:
Ti1 0.0000 0.0000 0.0000
P1 0.5000 0.5000 0.5771
N1 0.0000 0.5000 0.7217
N2 0.5000 0.5000 0.2172

The calculation puts the total energy at -8.074 eV per atom. For the uncorrected formation energy, the calculation gives -0.418 eV/atom.

=====

No. 2
The following is a DFT calculation (PBE) of a geometry-optimized Pm3DySn6 structure.

Cell: 7.3546 9.5690 10.6085 Å, 90.00 128.55 90.00°
Space group P2_1/c (No. 14)
One atom of each set of equivalent atoms:
Pm1 0.0000 0.0000 0.0000
Pm2 0.2626 0.0992 0.7962
Dy1 0.5000 0.0000 0.5000
Sn1 0.0677 0.1684 0.4296
Sn2 0.2230 0.7308 0.4240
Sn3 0.4996 0.1831 0.2049

The calculation puts the total energy at -4.770 eV per atom.

=====

No. 3
The following is a DFT calculation (PBE) of a geometry-optimized CaVIn2Ru structure.

Cell: 5.1332 5.1332 5.2198 Å, 90.00 90.00 90.00°
Space group P4/mmm (No. 123)
One atom of each set of equivalent atoms:
Ca1 0.0000 0.0000 0.0000
V1 0.0000 0.0000 0.5000
In1 0.0000 0.5000 0.5000
Ru1 0.5000 0.5000 0.0000

The calculation puts the total energy at -3.992 eV per atom.

=====

No. 4
The following is a DFT calculation (PBE) of a geometry-optimized CeMnSi2Ir structure.

Cell: 4.0416 4.0416 10.1758 Å, 90.00 90.00 90.00°
Space group I-4m2 (No. 119)
One atom of each set of equivalent atoms:
Ce1 0.0000 0.0000 0.0000
Mn1 0.0000 0.5000 0.7500
Si1 0.0000 0.0000 0.3787
Ir1 0.0000 0.5000 0.2500

The calculation puts the total energy at -7.774 eV per atom. For the uncorrected formation energy, the calculation gives -0.812 eV/atom.

=====

No. 5
The following is a DFT calculation (PBE) of a geometry-optimized Ac2TbMgHg6 structure.

Cell: 4.5392 8.1568 8.2233 Å, 114.07 90.27 90.18°
Space group P-1 (No. 2)
One atom of each set of equivalent atoms:
Ac1 0.0076 0.2210 0.2783
Tb1 0.0000 0.5000 0.0000
Mg1 0.5000 0.0000 0.5000
Hg1 0.0040 0.1768 0.6736
Hg2 0.4915 0.8338 0.0581
Hg3 0.4979 0.5565 0.3329

The calculation puts the total energy at -1.978 eV per atom.

=====

No. 6
The following is a DFT calculation (PBE) of a geometry-optimized LaZn2H structure.

Cell: 6.9018 6.9018 6.9018 Å, 90.00 90.00 90.00°
Space group Fm-3m (No. 225)
One atom of each set of equivalent atoms:
La1 0.0000 0.0000 0.0000
Zn1 0.2500 0.2500 0.2500
H1 0.0000 0.0000 0.5000

The calculation puts the total energy at -2.327 eV per atom. The calculation puts the offset from the most stable computed form at 307 meV/atom.

=====

No. 7
The following is a DFT calculation (PBE) of a geometry-optimized Sm3AuI7 structure.

Cell: 8.7611 8.7611 7.4576 Å, 90.00 90.00 120.00°
Space group P3m1 (No. 156)
One atom of each set of equivalent atoms:
Sm1 0.1693 0.3386 0.0000
Au1 0.3333 0.6667 0.2152
I1 0.0000 0.0000 0.7466
I2 0.0044 0.5022 0.7528
I3 0.3347 0.1674 0.2375

The calculation puts the total energy at -3.757 eV per atom. For the uncorrected formation energy, the calculation gives -1.185 eV/atom.

=====

No. 8
The following is a DFT calculation (PBE) of a geometry-optimized EuCdGa structure.

Cell: 3.6686 3.6686 11.4284 Å, 90.00 90.00 90.00°
Space group I4mm (No. 107)
One atom of each set of equivalent atoms:
Eu1 0.0000 0.0000 0.0000
Cd1 0.0000 0.0000 0.3069
Ga1 0.0000 0.0000 0.6779

The calculation puts the total energy at -5.009 eV per atom.

=====

No. 9
The following is a DFT calculation (PBE) of a geometry-optimized Sr2TlAu2 structure.

Cell: 3.9714 3.9714 19.1357 Å, 90.00 90.00 90.00°
Space group I4/mmm (No. 139)
One atom of each set of equivalent atoms:
Sr1 0.0000 0.0000 0.1151
Tl1 0.0000 0.0000 0.5000
Au1 0.0000 0.5000 0.2500

The calculation puts the total energy at -2.919 eV per atom.

=====

No. 10
The following is a DFT calculation (PBE) of a geometry-optimized LiVPd2Br structure.

Cell: 4.8829 4.8829 4.2969 Å, 90.00 90.00 90.00°
Space group P4/mmm (No. 123)
One atom of each set of equivalent atoms:
Li1 0.0000 0.0000 0.0000
V1 0.5000 0.5000 0.0000
Pd1 0.0000 0.5000 0.5000
Br1 0.0000 0.0000 0.5000

The calculation puts the total energy at -3.845 eV per atom. For the uncorrected formation energy, the calculation gives 0.773 eV/atom.

=====

No. 11
The following is a DFT calculation (PBE) of a geometry-optimized ScI2BrO structure.

Cell: 6.1415 6.1415 3.8298 Å, 90.00 90.00 90.00°
Space group P4/mmm (No. 123)
One atom of each set of equivalent atoms:
Sc1 0.0000 0.0000 0.0000
I1 0.0000 0.5000 0.5000
Br1 0.5000 0.5000 0.5000
O1 0.5000 0.5000 0.0000

The calculation puts the total energy at -2.936 eV per atom. The calculation puts the offset from the most stable computed form at 1263 meV/atom. For the uncorrected formation energy, the calculation gives 0.276 eV/atom.

=====

No. 12
The following is a DFT calculation (PBE) of a geometry-optimized Rb8Na3Hg2 structure.

Cell: 23.8773 10.7290 6.2222 Å, 90.00 90.63 90.00°
Space group C2/m (No. 12)
One atom of each set of equivalent atoms:
Rb1 0.0685 0.0000 0.2669
Rb2 0.1561 0.5000 0.2384
Rb3 0.1752 0.2118 0.7472
Na1 0.0000 0.3299 0.0000
Na2 0.0000 0.5000 0.5000
Hg1 0.2268 0.0000 0.2473

The calculation puts the total energy at -0.980 eV per atom.